Compound: PH4Br3
Source: the Alexandria database
Functional: PBE-GGA
Structure: relaxed

```
PH4Br3
1.0
6.1430 0.4400 -0.9141
-2.6423 5.5631 0.9141
-3.6209 -1.9107 4.6908
P H Br
1 4 3
Cartesian
2.9731 2.2885 1.8310
-3.4994 2.0407 4.1166
-1.9403 1.1315 2.7214
1.9673 1.5197 1.2081
3.1469 3.5424 1.2081
0.1638 -0.0955 3.3012
0.1440 -0.0840 0.2156
0.0762 3.9778 1.9291
```

**Magnetization**: 1.10 μB/f.u.
**SG**: Imm2, No. 44
**Energy**: -2.98 eV per atom

Compound: Sr2AgIN
Source: the Alexandria database
Functional: PBE-GGA
Structure: relaxed

```
Sr2AgIN
1.0
-1.5070 3.7333 4.5821
-2.6030 -2.7528 1.3867
4.4098 -2.4384 3.4370
I Sr Ag N
1 2 1 1
Cartesian
0.1499 -0.7290 4.7029
2.2049 -1.2192 1.7185
-0.7535 1.8666 2.2911
0.0000 0.0000 0.0000
-1.3015 -1.3764 0.6934
```

**Magnetization**: 0.00 μB/f.u.
**Raw formation energy**: -0.05 eV per atom
**SG**: P4/mmm, No. 123
**Energy**: -3.27 eV per atom

Compound: Ce3Tl5O12
Source: the Alexandria database
Functional: PBE-GGA
Structure: relaxed

```
Ce3Tl5O12
1.0
11.8398 0.0000 0.0000
-3.9466 11.1626 0.0000
-3.9466 -5.5813 9.6671
Ce Tl O
12 20 48
Cartesian
6.9065 3.4883 1.2084
6.9065 7.6743 1.2084
-0.9866 4.8837 6.0420
0.9866 -0.6977 3.6252
8.8798 0.0000 2.4168
0.9866 5.5813 2.4168
2.9599 0.0000 7.2503
-4.9332 5.5813 7.2503
2.9599 6.2790 6.0420
4.9332 0.6977 3.6252
-2.9599 -2.0930 8.4587
-2.9599 2.0930 8.4587
-0.9866 2.7907 2.4168
-1.9733 5.5813 0.0000
0.0000 0.0000 0.0000
2.9599 2.0930 1.2084
3.9466 -2.7907 4.8336
3.9466 5.5813 0.0000
-2.9599 6.2790 3.6252
4.9332 -3.4883 8.4587
4.9332 4.8837 3.6252
0.9866 -2.7907 7.2503
2.9599 8.3720 2.4168
1.9733 2.7907 4.8336
5.9199 0.0000 0.0000
-1.9733 -2.7907 4.8336
-0.9866 0.6977 6.0420
-0.9866 9.0696 1.2084
-3.9466 2.7907 4.8336
6.9065 -0.6977 6.0420
0.9866 3.4883 8.4587
4.9332 2.7907 7.2503
7.8039 1.2561 0.5046
0.0893 3.8557 3.9981
8.7013 2.4864 2.6804
5.1118 1.7126 1.3401
1.4171 4.3251 6.4821
8.2343 5.5942 1.6486
-0.8081 6.3551 4.0205
-3.1385 9.4501 1.3401
0.5562 6.8375 6.4821
5.5787 5.5684 1.6486
6.0092 2.9817 3.4935
6.0092 9.9066 0.5046
-3.3904 4.9856 5.3382
2.3145 4.1472 0.8131
-4.0359 8.1809 3.4935
2.0626 -1.7256 5.6690
-0.5562 0.6605 2.1532
2.3145 7.0026 0.8355
5.1118 8.6762 2.6804
-0.3412 4.1601 0.8355
-2.5295 6.2418 7.5140
2.7814 4.8075 4.0205
5.3637 6.1770 5.3382
4.2878 -1.4342 8.8540
1.1652 0.7738 5.6467
-1.4171 -0.5957 4.3290
-0.3412 7.0155 0.8131
-1.1652 -3.0949 6.9867
6.4761 -0.6605 2.1532
4.2878 1.4212 8.8316
1.6321 -1.4212 8.8316
1.8840 7.3069 3.9981
4.5028 4.9209 7.5140
7.9825 -2.5996 6.1736
7.3370 0.5957 4.3290
-2.0626 -4.3253 9.1625
1.6321 1.4342 8.8540
3.3904 -1.2562 3.1850
-1.6321 0.0129 8.0186
-2.0626 2.5996 6.1736
7.0851 -3.8687 8.3270
4.7547 -0.7738 5.6467
-1.1652 3.8687 8.3270
-4.2878 -0.0129 8.0186
2.5295 1.2562 3.1850
-4.7547 3.0949 6.9867
3.8573 1.7256 5.6690
-3.8573 4.3253 9.1625
```

**Magnetization**: 1.94 μB/f.u.
**Raw formation energy**: -1.66 eV per atom
**SG**: Ia-3d, No. 230
**Energy**: -6.12 eV per atom